No. 1
Material: Sr2LiMoN4
Method: DFT, PBE
State: relaxed

Output
ρ (Mg/m³): 4.18
Formation energy without anion corrections (meV per atom): -638
Total magnetic moment (μB/atom): 0.12

a = 5.858 Å, b = 6.076 Å, c = 7.461 Å
α = 90.00°, β = 90.00°, γ = 90.00°
Each line ends with the local moment (μB).
Element x y z (fractional)
Sr 0.501 0.228 0.248  0.00
Sr 0.501 0.228 0.752  0.00
Sr 0.001 0.772 0.748  0.00
Sr 0.001 0.772 0.252  0.00
Li 0.000 0.215 0.500  0.00
Li 0.500 0.785 0.000  0.00
Mo 0.500 0.792 0.500  -0.10
Mo 0.000 0.208 0.000  -0.10
N 0.250 0.018 0.000  0.13
N 0.750 0.982 0.500  0.13
N 0.251 0.984 0.500  0.13
N 0.751 0.016 0.000  0.13
N 0.499 0.638 0.720  0.25
N 0.999 0.362 0.220  0.25
N 0.999 0.362 0.780  0.25
N 0.499 0.638 0.280  0.25

No. 2
Material: SmHoSiPd
Method: DFT, PBE
State: relaxed

Output
Relative energy among the computed polymorphs (eV per formula unit): 0.00
ρ (Mg/m³): 8.08
Formation energy without anion corrections (meV per atom): -809
Total magnetic moment (μB/atom): 0.00

a = 3.998 Å, b = 4.233 Å, c = 5.814 Å
α = 90.00°, β = 110.11°, γ = 90.00°
Element x y z (fractional)
Sm 0.857 0.500 0.714
Ho 0.136 0.000 0.273
Si 0.579 0.500 0.158
Pd 0.428 0.000 0.855

No. 3
Material: Pr8SbN4
Method: DFT, PBE
State: relaxed

Output
ρ (Mg/m³): 6.26
Formation energy without anion corrections (meV per atom): -720
Total magnetic moment (μB/atom): 0.00

a = 7.881 Å, b = 7.881 Å, c = 7.881 Å
α = 60.00°, β = 60.00°, γ = 60.00°
Element x y z (fractional)
Pr 0.578 0.141 0.141
Pr 0.141 0.578 0.141
Pr 0.141 0.141 0.578
Pr 0.141 0.141 0.141
Pr 0.192 0.603 0.603
Pr 0.603 0.192 0.603
Pr 0.603 0.603 0.192
Pr 0.603 0.603 0.603
Sb 0.750 0.750 0.750
N 0.886 0.371 0.371
N 0.371 0.886 0.371
N 0.371 0.371 0.886
N 0.371 0.371 0.371

No. 4
Material: Ac2Pm3Pt4
Method: DFT, PBE
State: relaxed

Output
Relative energy among the computed polymorphs (eV per formula unit): 0.00
ρ (Mg/m³): 11.46
Total magnetic moment (μB/atom): 0.00

a = 8.268 Å, b = 7.826 Å, c = 7.892 Å
α = 90.00°, β = 90.00°, γ = 108.72°
Element x y z (fractional)
Ac 0.591 0.201 0.323
Ac 0.909 0.799 0.823
Ac 0.409 0.799 0.677
Ac 0.091 0.201 0.177
Pm 0.000 0.500 0.500
Pm 0.500 0.500 0.000
Pm 0.750 0.246 0.836
Pm 0.750 0.754 0.336
Pm 0.250 0.754 0.164
Pm 0.250 0.246 0.664
Pt 0.873 0.095 0.537
Pt 0.627 0.905 0.037
Pt 0.127 0.905 0.463
Pt 0.373 0.095 0.963
Pt 0.876 0.500 0.133
Pt 0.624 0.500 0.633
Pt 0.124 0.500 0.867
Pt 0.376 0.500 0.367

No. 5
Material: Sr2SnGeC
Method: DFT, PBE
State: relaxed

Output
ρ (Mg/m³): 3.11
Total DFT energy (no corrections) (eV per atom): -3.047
Total magnetic moment (μB/atom): 0.50

a = 6.318 Å, b = 5.070 Å, c = 6.318 Å
α = 90.00°, β = 90.00°, γ = 90.00°
Each line ends with the local moment (μB).
Element x y z (fractional)
C 0.500 0.500 0.500  0.99
Sr 0.000 0.000 0.500  0.01
Sr 0.500 0.000 0.000  0.02
Ge 0.000 0.500 0.000  0.00
Sn 0.000 0.000 0.000  0.03

No. 6
Material: Pm6Sm2Er3Tl
Method: DFT, PBE
State: relaxed

Output
ρ (Mg/m³): 8.08
Total DFT energy (no corrections) (eV per atom): -4.522
Total magnetic moment (μB/atom): 0.00

a = 6.188 Å, b = 6.188 Å, c = 11.830 Å
α = 95.02°, β = 95.02°, γ = 120.11°
Element x y z (fractional)
Pm 0.916 0.589 0.749
Pm 0.757 0.757 0.252
Pm 0.084 0.411 0.251
Pm 0.589 0.916 0.749
Pm 0.243 0.243 0.748
Pm 0.411 0.084 0.251
Sm 0.334 0.666 0.000
Sm 0.666 0.334 0.000
Er 0.167 0.833 0.500
Er 0.833 0.167 0.500
Er 0.500 0.500 0.500
Tl 0.000 0.000 0.000

No. 7
Material: Al2Bi2Te
Method: DFT, PBE
State: relaxed

Output
Relative energy among the computed polymorphs (eV per formula unit): 0.00
ρ (Mg/m³): 7.23
Formation energy without anion corrections (meV per atom): 122
Total magnetic moment (μB/atom): 0.00

a = 4.060 Å, b = 4.060 Å, c = 8.831 Å
α = 76.71°, β = 76.71°, γ = 90.00°
Element x y z (fractional)
Te 0.000 0.000 0.000
Bi 0.382 0.382 0.236
Bi 0.618 0.618 0.764
Al 0.750 0.250 0.500
Al 0.250 0.750 0.500

No. 8
Material: TbInCu
Method: DFT, PBE
State: relaxed

Output
ρ (Mg/m³): 8.66
Total DFT energy (no corrections) (eV per atom): -4.035
Total magnetic moment (μB/atom): 0.00

a = 3.338 Å, b = 3.338 Å, c = 6.266 Å
α = 105.45°, β = 105.45°, γ = 90.00°
Element x y z (fractional)
Tb 0.632 0.632 0.264
Cu 0.290 0.290 0.580
In 0.928 0.928 0.856

No. 9
Material: AgRuO2F
Method: DFT, PBE
State: relaxed

Output
ρ (Mg/m³): 6.59
Formation energy without anion corrections (meV per atom): -688
Total magnetic moment (μB/atom): 0.19

a = 3.810 Å, b = 3.810 Å, c = 4.509 Å
α = 90.00°, β = 90.00°, γ = 90.00°
Each line ends with the local moment (μB).
Element x y z (fractional)
Ru 0.000 0.000 0.000  0.62
O 0.000 0.500 0.000  0.12
O 0.500 0.000 0.000  0.12
Ag 0.500 0.500 0.500  0.01
F 0.000 0.000 0.500  0.01

No. 10
Material: Dy7Fe2Te2
Method: DFT, PBE
State: relaxed

Output
ρ (Mg/m³): 8.66
Formation energy without anion corrections (meV per atom): -485
Total magnetic moment (μB/atom): 0.13

a = 3.895 Å, b = 9.381 Å, c = 9.381 Å
α = 60.10°, β = 78.02°, γ = 78.02°
Each line ends with the local moment (μB).
Element x y z (fractional)
Dy 0.815 0.085 0.286  -0.20
Dy 0.850 0.410 0.890  -0.12
Dy 0.500 0.024 0.976  0.10
Dy 0.634 0.472 0.260  -0.18
Dy 0.366 0.740 0.528  -0.18
Dy 0.185 0.714 0.915  -0.20
Dy 0.150 0.110 0.590  -0.12
Fe 0.738 0.854 0.671  1.24
Fe 0.262 0.329 0.146  1.24
Te 0.000 0.759 0.241  0.01
Te 0.500 0.358 0.642  0.01

No. 11
Material: NbFeTc3
Method: DFT, PBE
State: relaxed

Output
Relative energy among the computed polymorphs (eV per formula unit): 6.02
ρ (Mg/m³): 7.33
Total magnetic moment (μB/atom): 0.04

a = 4.646 Å, b = 4.646 Å, c = 4.646 Å
α = 90.00°, β = 90.00°, γ = 90.00°
Each line ends with the local moment (μB).
Element x y z (fractional)
Nb 0.000 0.000 0.000  -0.02
Tc 0.000 0.500 0.000  0.14
Tc 0.000 0.000 0.500  0.09
Tc 0.500 0.000 0.000  0.18
Fe 0.500 0.500 0.500  -0.23

No. 12
Material: ThSc2Si4
Method: DFT, PBE
State: relaxed

Output
ρ (Mg/m³): 5.35
Formation energy without anion corrections (meV per atom): -728
Total magnetic moment (μB/atom): 0.00

a = 3.850 Å, b = 4.126 Å, c = 8.939 Å
α = 103.35°, β = 102.44°, γ = 90.00°
Element x y z (fractional)
Th 0.500 0.000 0.000
Sc 0.817 0.817 0.634
Sc 0.183 0.183 0.366
Si 0.657 0.657 0.313
Si 0.343 0.343 0.687
Si 0.070 0.570 0.140
Si 0.930 0.430 0.860

No. 13
Material: MgZn3Ir2
Method: DFT, PBE
State: relaxed

Output
ρ (Mg/m³): 11.30
Total DFT energy (no corrections) (eV per atom): -4.073
Total magnetic moment (μB/atom): 0.00

a = 3.086 Å, b = 4.306 Å, c = 13.380 Å
α = 90.00°, β = 90.00°, γ = 90.00°
Element x y z (fractional)
Mg 0.000 0.500 0.500
Mg 0.000 0.000 0.000
Zn 0.500 0.500 0.684
Zn 0.500 0.000 0.500
Zn 0.500 0.500 0.316
Zn 0.500 0.000 0.184
Zn 0.500 0.500 0.000
Zn 0.500 0.000 0.816
Ir 0.000 0.000 0.651
Ir 0.000 0.000 0.349
Ir 0.000 0.500 0.151
Ir 0.000 0.500 0.849

No. 14
Material: GaFe3Pt
Method: DFT, PBE
State: relaxed

Output
Relative energy among the computed polymorphs (eV per formula unit): 0.00
ρ (Mg/m³): 8.34
Total magnetic moment (μB/atom): 1.69

a = 4.415 Å, b = 4.415 Å, c = 4.415 Å
α = 90.00°, β = 90.00°, γ = 90.00°
Each line ends with the local moment (μB).
Element x y z (fractional)
Ga 0.000 0.000 0.000  -0.19
Pt 0.500 0.500 0.500  0.32
Fe 0.000 0.500 0.000  2.81
Fe 0.000 0.000 0.500  2.95
Fe 0.500 0.000 0.000  2.63

No. 15
Material: LiY4Pb
Method: DFT, PBE
State: relaxed

Output
ρ (Mg/m³): 4.98
Total DFT energy (no corrections) (eV per atom): -4.974
Total magnetic moment (μB/atom): 0.00

a = 6.451 Å, b = 6.451 Å, c = 6.451 Å
α = 60.00°, β = 60.00°, γ = 60.00°
Element x y z (fractional)
Li 0.750 0.750 0.750
Y 0.877 0.374 0.374
Y 0.374 0.374 0.877
Y 0.374 0.877 0.374
Y 0.374 0.374 0.374
Pb 0.000 0.000 0.000

No. 16
Material: ErGaAu4
Method: DFT, PBE
State: relaxed

Output
Relative energy among the computed polymorphs (eV per formula unit): 0.69
ρ (Mg/m³): 13.98
Total magnetic moment (μB/atom): 0.00

a = 5.563 Å, b = 5.563 Å, c = 5.563 Å
α = 60.00°, β = 60.00°, γ = 60.00°
Element x y z (fractional)
Au 0.625 0.625 0.125
Au 0.625 0.125 0.625
Au 0.625 0.625 0.625
Au 0.125 0.625 0.625
Ga 0.000 0.000 0.000
Er 0.250 0.250 0.250

No. 17
Material: KRe4Rh
Method: DFT, PBE
State: relaxed

Output
ρ (Mg/m³): 13.99
Total DFT energy (no corrections) (eV per atom): -8.659
Total magnetic moment (μB/atom): 0.00

a = 5.299 Å, b = 5.299 Å, c = 5.299 Å
α = 60.00°, β = 60.00°, γ = 60.00°
Element x y z (fractional)
K 0.000 0.000 0.000
Re 0.876 0.375 0.375
Re 0.375 0.375 0.876
Re 0.375 0.876 0.375
Re 0.375 0.375 0.375
Rh 0.750 0.750 0.750

No. 18
Material: LaCr2Ru
Method: DFT, PBE
State: relaxed

Output
Relative energy among the computed polymorphs (eV per formula unit): 0.86
ρ (Mg/m³): 7.87
Total magnetic moment (μB/atom): 0.26

a = 5.528 Å, b = 5.528 Å, c = 5.528 Å
α = 146.89°, β = 127.38°, γ = 63.60°
Each line ends with the local moment (μB).
Element x y z (fractional)
Cr 0.018 0.018 0.000  2.31
Cr 0.769 0.269 0.500  -3.23
La 0.486 0.486 0.000  -0.03
Ru 0.227 0.727 0.500  0.09

No. 19
Material: Ca2Ge3
Method: DFT, PBE
State: relaxed

Output
Relative energy among the computed polymorphs (eV per formula unit): 0.06
ρ (Mg/m³): 4.22
Total magnetic moment (μB/atom): 0.00

a = 4.140 Å, b = 5.886 Å, c = 5.886 Å
α = 64.14°, β = 69.41°, γ = 69.41°
Element x y z (fractional)
Ca 0.782 0.718 0.718
Ca 0.218 0.282 0.282
Ge 0.000 0.000 0.000
Ge 0.500 0.290 0.710
Ge 0.500 0.710 0.290

No. 20
Material: Pr8OsPt3Br4
Method: DFT, PBE
State: relaxed

Output
ρ (Mg/m³): 7.59
Formation energy without anion corrections (meV per atom): -1124
Total magnetic moment (μB/atom): 0.00

a = 8.476 Å, b = 9.227 Å, c = 8.475 Å
α = 117.36°, β = 120.00°, γ = 90.00°
Element x y z (fractional)
Pr 0.228 0.698 0.970
Pr 0.228 0.698 0.456
Pr 0.268 0.303 0.535
Pr 0.742 0.698 0.970
Pr 0.258 0.302 0.030
Pr 0.732 0.697 0.465
Pr 0.772 0.302 0.544
Pr 0.772 0.302 0.030
Os 0.000 0.500 0.000
Pt 0.500 0.500 0.000
Pt 0.500 0.500 0.500
Pt 0.000 0.500 0.500
Br 0.500 0.000 0.000
Br 0.500 0.000 0.500
Br 0.000 0.000 0.000
Br 0.000 0.000 0.500

No. 21
Material: PuHfNi2
Method: DFT, PBE
State: relaxed

Output
Relative energy among the computed polymorphs (eV per formula unit): 0.00
ρ (Mg/m³): 12.78
Total magnetic moment (μB/atom): 1.43

a = 3.178 Å, b = 3.178 Å, c = 6.947 Å
α = 90.00°, β = 90.00°, γ = 90.00°
Each line ends with the local moment (μB).
Element x y z (fractional)
Ni 0.000 0.000 0.795  0.05
Ni 0.000 0.000 0.205  0.05
Hf 0.500 0.500 0.000  0.03
Pu 0.500 0.500 0.500  5.33

No. 22
Material: Ca2GaPdCl
Method: DFT, PBE
State: relaxed

Output
ρ (Mg/m³): 3.54
Formation energy without anion corrections (meV per atom): -323
Total magnetic moment (μB/atom): 0.00

a = 5.216 Å, b = 5.025 Å, c = 5.216 Å
α = 90.00°, β = 90.00°, γ = 90.00°
Element x y z (fractional)
Ca 0.000 0.000 0.500
Ca 0.500 0.000 0.000
Ga 0.000 0.500 0.000
Pd 0.500 0.500 0.500
Cl 0.000 0.000 0.000

No. 23
Material: Nd2Er3Tm6Pu
Method: DFT, PBE
State: relaxed

Output
ρ (Mg/m³): 9.25
Total DFT energy (no corrections) (eV per atom): -5.314
Total magnetic moment (μB/atom): 0.52

a = 6.099 Å, b = 6.099 Å, c = 11.602 Å
α = 84.92°, β = 84.92°, γ = 120.04°
Each line ends with the local moment (μB).
Element x y z (fractional)
Nd 0.334 0.666 0.000  -0.03
Nd 0.666 0.334 0.000  -0.03
Er 0.167 0.833 0.500  0.04
Er 0.833 0.167 0.500  0.04
Er 0.500 0.500 0.500  0.04
Tm 0.916 0.587 0.251  -0.03
Tm 0.755 0.755 0.748  -0.03
Tm 0.084 0.413 0.749  -0.03
Tm 0.587 0.916 0.251  -0.03
Tm 0.245 0.245 0.252  -0.03
Tm 0.413 0.084 0.749  -0.03
Pu 0.000 0.000 0.000  -5.56

No. 24
Material: NaY2Pu3Te6
Method: DFT, PBE
State: relaxed

Output
ρ (Mg/m³): 7.64
Formation energy without anion corrections (meV per atom): -1172
Total magnetic moment (μB/atom): 0.50

a = 4.413 Å, b = 8.891 Å, c = 9.894 Å
α = 102.30°, β = 102.89°, γ = 90.00°
Each line ends with the local moment (μB).
Element x y z (fractional)
Na 0.500 0.000 0.000  0.00
Y 0.833 0.663 0.666  0.02
Y 0.167 0.337 0.334  0.02
Pu 0.500 0.500 0.000  -5.43
Pu 0.835 0.164 0.669  5.53
Pu 0.165 0.836 0.331  5.53
Te 0.332 0.910 0.665  -0.05
Te 0.668 0.584 0.336  -0.01
Te 0.668 0.090 0.335  -0.05
Te 0.003 0.252 0.006  0.02
Te 0.997 0.748 0.994  0.02
Te 0.332 0.416 0.664  -0.01